[1]
DFT (PBE) results for a geometry-optimized Pr3PtCl3 structure.

Computed properties:
ρ (kg/m³): 5565
Total moment (Bohr magnetons per cell): 0.00
Density of states at the Fermi level (states/eV/atom): 0.515
SG: No. 214
Formation energy (no corrections) (eV per atom): -1.670
V (A^3/atom): 30.9

Cell lengths 10.394, 10.394, 10.394 Å; angles 109.47, 109.47, 109.47 degrees
Sites, in units of the cell vectors:
Pr 0.011 0.021 0.261
Pr 0.011 0.489 0.750
Pr 0.021 0.261 0.011
Pr 0.239 0.261 0.750
Pr 0.239 0.479 0.489
Pr 0.261 0.011 0.021
Pr 0.261 0.750 0.239
Pr 0.479 0.489 0.239
Pr 0.489 0.239 0.479
Pr 0.489 0.750 0.011
Pr 0.750 0.011 0.489
Pr 0.750 0.239 0.261
Pt 0.000 0.250 0.500
Pt 0.250 0.250 0.250
Pt 0.250 0.500 0.000
Pt 0.500 0.000 0.250
Cl 0.001 0.003 0.751
Cl 0.001 0.499 0.250
Cl 0.003 0.751 0.001
Cl 0.250 0.001 0.499
Cl 0.250 0.749 0.751
Cl 0.497 0.499 0.749
Cl 0.499 0.250 0.001
Cl 0.499 0.749 0.497
Cl 0.749 0.497 0.499
Cl 0.749 0.751 0.250
Cl 0.751 0.001 0.003
Cl 0.751 0.250 0.749

***

[2]
DFT (PBE) results for a geometry-optimized Ca4RhAu3 structure.

Computed properties:
ρ (kg/m³): 7650
Calculated total energy (eV for the cell shown): -30.60
Total moment (Bohr magnetons per cell): 0.00
Density of states at the Fermi level (states/eV/atom): 0.559
SG: No. 166
V (A^3/atom): 23.2

Cell lengths 8.786, 8.786, 8.786 Å; angles 33.64, 33.64, 33.64 degrees
Sites, in units of the cell vectors:
Ca 0.121 0.121 0.121
Ca 0.372 0.372 0.372
Ca 0.628 0.628 0.628
Ca 0.879 0.879 0.879
Rh 0.000 0.000 0.000
Au 0.251 0.251 0.251
Au 0.500 0.500 0.500
Au 0.749 0.749 0.749

***

[3]
DFT (PBE) results for a geometry-optimized Al2WAu structure.

Computed properties:
Polymorph energy (0 for the lowest one) (eV/atom): 0.070
ρ (kg/m³): 11096
Total moment (Bohr magnetons per cell): 0.00
Density of states at the Fermi level (states/eV/atom): 0.337
SG: No. 10
V (A^3/atom): 16.3

Cell lengths 2.824, 4.180, 5.513 Å; angles 90.00, 90.05, 90.00 degrees
Sites, in units of the cell vectors:
Al 0.002 0.000 0.228
Al 0.998 0.000 0.772
W 0.500 0.500 0.000
Au 0.000 0.500 0.500

***

[4]
DFT (PBE) results for a geometry-optimized TlCrAg2Br6 structure.

Computed properties:
ρ (kg/m³): 4518
Total moment (Bohr magnetons per cell): 6.00
Density of states at the Fermi level (states/eV/atom): 0.068
SG: No. 15
Formation energy (no corrections) (eV per atom): -0.514
V (A^3/atom): 35.0

Cell lengths 9.689, 9.689, 8.388 Å; angles 109.40, 109.40, 80.78 degrees
Sites, in units of the cell vectors:
Tl 0.159 0.841 0.750
Tl 0.841 0.159 0.250
Cr 0.192 0.808 0.250
Cr 0.808 0.192 0.750
Ag 0.366 0.463 0.851
Ag 0.463 0.366 0.351
Ag 0.537 0.634 0.649
Ag 0.634 0.537 0.149
Br 0.027 0.189 0.686
Br 0.127 0.619 0.970
Br 0.189 0.027 0.186
Br 0.263 0.472 0.517
Br 0.381 0.873 0.530
Br 0.472 0.263 0.017
Br 0.528 0.737 0.983
Br 0.619 0.127 0.470
Br 0.737 0.528 0.483
Br 0.811 0.973 0.814
Br 0.873 0.381 0.030
Br 0.973 0.811 0.314

***

[5]
DFT (PBE) results for a geometry-optimized ZrRhSCl2 structure.

Computed properties:
Polymorph energy (0 for the lowest one) (eV/atom): 0.260
ρ (kg/m³): 4766
Total moment (Bohr magnetons per cell): 1.48
Density of states at the Fermi level (states/eV/atom): 1.189
SG: No. 123
Formation energy (no corrections) (eV per atom): -0.011
V (A^3/atom): 20.7

Cell lengths 4.644, 4.644, 4.800 Å; angles 90.00, 90.00, 90.00 degrees
Sites, in units of the cell vectors:
Zr 0.000 0.000 0.000
Rh 0.500 0.500 0.500
S 0.500 0.500 0.000
Cl 0.000 0.500 0.500
Cl 0.500 0.000 0.500

***

[6]
DFT (PBE) results for a geometry-optimized Rb3PaTe2O8 structure.

Computed properties:
ρ (kg/m³): 4728
Total moment (Bohr magnetons per cell): 0.00
Density of states at the Fermi level (states/eV/atom): 0.000
SG: No. 164
Formation energy (no corrections) (eV per atom): -1.872
V (A^3/atom): 21.8

Cell lengths 6.603, 6.603, 8.100 Å; angles 90.00, 90.00, 120.00 degrees
Sites, in units of the cell vectors:
Rb 0.000 0.000 0.000
Rb 0.333 0.667 0.783
Rb 0.667 0.333 0.217
Pa 0.000 0.000 0.500
Te 0.333 0.667 0.332
Te 0.667 0.333 0.668
O 0.152 0.304 0.335
O 0.152 0.848 0.335
O 0.304 0.152 0.665
O 0.333 0.667 0.104
O 0.667 0.333 0.896
O 0.696 0.848 0.335
O 0.848 0.152 0.665
O 0.848 0.696 0.665

***

Among the records above, which one has the highest ρ? Al2WAu

***

What is the total moment in the fifth record? 1.48 Bohr magnetons per cell